Record 1
This record from the Alexandria database describes a geometry-optimized Si2TcRh structure. The functional is GGA-PBE.

a b c (Å): 2.953 3.998 9.179
angles (deg): 90.00 90.00 90.00
Atoms (fractional coordinates):
Si  0.000  0.000  0.000
Si  0.000  0.500  0.234
Si  0.500  0.000  0.734
Si  0.500  0.500  0.500
Tc  0.000  0.500  0.735
Tc  0.500  0.000  0.235
Rh  0.000  0.000  0.506
Rh  0.500  0.500  0.006

## Properties
* symmetry: Imm2
* formation energy (no corrections): -398 meV/atom
* calculated total energy: -7.539 eV per atom

Record 2
This record from the Alexandria database describes a geometry-optimized Si2TcRh2 structure. The functional is GGA-PBE.

a b c (Å): 7.017 7.017 2.735
angles (deg): 90.00 90.00 90.00
Atoms (fractional coordinates):
Si  0.153  0.347  0.000
Si  0.347  0.847  0.000
Si  0.653  0.153  0.000
Si  0.847  0.653  0.000
Tc  0.000  0.000  0.000
Tc  0.500  0.500  0.000
Rh  0.147  0.647  0.500
Rh  0.353  0.147  0.500
Rh  0.647  0.853  0.500
Rh  0.853  0.353  0.500

## Properties
* symmetry: P4/mbm
* formation energy (no corrections): -545 meV/atom
* calculated total energy: -7.728 eV per atom

Record 3
This record from the Alexandria database describes a geometry-optimized SiTcRh2 structure. The functional is GGA-PBE.

a b c (Å): 3.867 3.867 7.372
angles (deg): 90.00 90.00 90.00
Atoms (fractional coordinates):
Si  0.000  0.000  0.000
Si  0.500  0.500  0.500
Tc  0.000  0.500  0.750
Tc  0.500  0.000  0.250
Rh  0.000  0.000  0.500
Rh  0.000  0.500  0.250
Rh  0.500  0.000  0.750
Rh  0.500  0.500  0.000

## Properties
* symmetry: I-4m2
* formation energy (no corrections): -270 meV/atom
* calculated total energy: -7.893 eV per atom

Record 4
This record from the Alexandria database describes a geometry-optimized SiTc2Rh structure. The functional is GGA-PBE.

a b c (Å): 2.796 3.736 5.409
angles (deg): 90.00 90.00 90.00
Atoms (fractional coordinates):
Si  0.000  0.000  0.000
Tc  0.000  0.000  0.487
Tc  0.500  0.500  0.282
Rh  0.500  0.500  0.802

## Properties
* symmetry: Pmm2
* formation energy (no corrections): -198 meV/atom
* calculated total energy: -8.575 eV per atom

Record 5
This record from the Alexandria database describes a geometry-optimized Si2TcRh structure. The functional is GGA-PBE.

a b c (Å): 8.988 2.909 4.240
angles (deg): 90.00 106.24 90.00
Atoms (fractional coordinates):
Si  0.000  0.000  0.000
Si  0.245  0.500  0.375
Si  0.500  0.500  0.000
Si  0.745  0.000  0.375
Tc  0.487  0.000  0.483
Tc  0.987  0.500  0.483
Rh  0.253  0.000  0.884
Rh  0.753  0.500  0.884

## Properties
* symmetry: Cm
* formation energy (no corrections): -562 meV/atom
* calculated total energy: -7.703 eV per atom

Record 6
This record from the Alexandria database describes a geometry-optimized SiTcRh structure. The functional is GGA-PBE.

a b c (Å): 2.759 3.834 7.821
angles (deg): 90.00 90.00 90.00
Atoms (fractional coordinates):
Si  0.000  0.000  0.000
Si  0.500  0.500  0.500
Tc  0.000  0.000  0.333
Tc  0.500  0.500  0.833
Rh  0.000  0.000  0.667
Rh  0.500  0.500  0.167

## Properties
* symmetry: Imm2
* formation energy (no corrections): -193 meV/atom
* calculated total energy: -7.906 eV per atom

Record 7
This record from the Alexandria database describes a geometry-optimized SiTcRh structure. The functional is GGA-PBE.

a b c (Å): 4.171 4.171 2.737
angles (deg): 90.00 90.00 120.00
Atoms (fractional coordinates):
Si  0.000  0.000  0.000
Tc  0.333  0.667  0.395
Rh  0.667  0.333  0.890

## Properties
* symmetry: P3m1
* formation energy (no corrections): -303 meV/atom
* calculated total energy: -8.016 eV per atom

Record 8
This record from the Alexandria database describes a geometry-optimized SiTcRh2 structure. The functional is GGA-PBE.

a b c (Å): 4.045 4.045 12.692
angles (deg): 90.00 90.00 120.00
Atoms (fractional coordinates):
Si  0.000  0.000  0.000
Si  0.333  0.667  0.667
Si  0.667  0.333  0.333
Tc  0.000  0.000  0.584
Tc  0.333  0.667  0.251
Tc  0.667  0.333  0.917
Rh  0.000  0.000  0.377
Rh  0.000  0.000  0.811
Rh  0.333  0.667  0.043
Rh  0.333  0.667  0.478
Rh  0.667  0.333  0.144
Rh  0.667  0.333  0.710

## Properties
* symmetry: R3m
* formation energy (no corrections): -180 meV/atom
* calculated total energy: -7.803 eV per atom

Record 9
This record from the Alexandria database describes a geometry-optimized SiTcRh2 structure. The functional is GGA-PBE.

a b c (Å): 2.784 2.784 24.885
angles (deg): 90.00 90.00 120.00
Atoms (fractional coordinates):
Si  0.000  0.000  0.000
Si  0.333  0.667  0.667
Si  0.667  0.333  0.333
Tc  0.000  0.000  0.748
Tc  0.333  0.667  0.415
Tc  0.667  0.333  0.081
Rh  0.000  0.000  0.260
Rh  0.000  0.000  0.499
Rh  0.333  0.667  0.166
Rh  0.333  0.667  0.927
Rh  0.667  0.333  0.593
Rh  0.667  0.333  0.833

## Properties
* symmetry: R3m
* formation energy (no corrections): -249 meV/atom
* calculated total energy: -7.872 eV per atom

Record 10
This record from the Alexandria database describes a geometry-optimized Si2TcRh structure. The functional is GGA-PBE.

a b c (Å): 6.080 6.080 6.080
angles (deg): 90.00 90.00 90.00
Atoms (fractional coordinates):
Si  0.000  0.000  0.000
Si  0.000  0.500  0.500
Si  0.250  0.250  0.250
Si  0.250  0.750  0.750
Si  0.500  0.000  0.500
Si  0.500  0.500  0.000
Si  0.750  0.250  0.750
Si  0.750  0.750  0.250
Tc  0.250  0.250  0.750
Tc  0.250  0.750  0.250
Tc  0.750  0.250  0.250
Tc  0.750  0.750  0.750
Rh  0.000  0.000  0.500
Rh  0.000  0.500  0.000
Rh  0.500  0.000  0.000
Rh  0.500  0.500  0.500

## Properties
* symmetry: F-43m
* formation energy (no corrections): 84 meV/atom
* calculated total energy: -7.057 eV per atom

Record 11
This record from the Alexandria database describes a geometry-optimized SiTc2Rh structure. The functional is GGA-PBE.

a b c (Å): 2.836 3.950 5.037
angles (deg): 90.00 90.00 90.00
Atoms (fractional coordinates):
Si  0.000  0.000  0.000
Tc  0.500  0.500  0.235
Tc  0.500  0.500  0.765
Rh  0.000  0.000  0.500

## Properties
* symmetry: Pmmm
* formation energy (no corrections): -123 meV/atom
* calculated total energy: -8.500 eV per atom

Record 12
This record from the Alexandria database describes a geometry-optimized SiTc2Rh structure. The functional is GGA-PBE.

a b c (Å): 2.854 2.854 6.753
angles (deg): 90.00 90.00 90.00
Atoms (fractional coordinates):
Si  0.000  0.000  0.000
Tc  0.000  0.000  0.487
Tc  0.500  0.500  0.230
Rh  0.500  0.500  0.787

## Properties
* symmetry: P4mm
* formation energy (no corrections): -352 meV/atom
* calculated total energy: -8.728 eV per atom

Record 13
This record from the Alexandria database describes a geometry-optimized SiTcRh2 structure. The functional is GGA-PBE.

a b c (Å): 3.813 3.813 7.571
angles (deg): 90.00 90.00 90.00
Atoms (fractional coordinates):
Si  0.000  0.000  0.000
Si  0.500  0.500  0.500
Tc  0.000  0.000  0.500
Tc  0.500  0.500  0.000
Rh  0.000  0.500  0.250
Rh  0.000  0.500  0.750
Rh  0.500  0.000  0.250
Rh  0.500  0.000  0.750

## Properties
* symmetry: I4/mmm
* formation energy (no corrections): -315 meV/atom
* calculated total energy: -7.938 eV per atom

Record 14
This record from the Alexandria database describes a geometry-optimized Si2TcRh structure. The functional is GGA-PBE.

a b c (Å): 3.675 3.675 9.682
angles (deg): 90.00 90.00 90.00
Atoms (fractional coordinates):
Si  0.000  0.000  0.242
Si  0.000  0.000  0.758
Si  0.500  0.500  0.258
Si  0.500  0.500  0.742
Tc  0.000  0.000  0.500
Tc  0.500  0.500  0.000
Rh  0.000  0.000  0.000
Rh  0.500  0.500  0.500

## Properties
* symmetry: I4/mmm
* formation energy (no corrections): 512 meV/atom
* calculated total energy: -6.628 eV per atom

Record 15
This record from the Alexandria database describes a geometry-optimized SiTc2Rh structure. The functional is GGA-PBE.

a b c (Å): 3.637 3.637 4.241
angles (deg): 90.00 90.00 90.00
Atoms (fractional coordinates):
Si  0.000  0.000  0.000
Tc  0.000  0.500  0.500
Tc  0.500  0.000  0.500
Rh  0.500  0.500  0.000

## Properties
* symmetry: P4/mmm
* formation energy (no corrections): -86 meV/atom
* calculated total energy: -8.462 eV per atom

Record 16
This record from the Alexandria database describes a geometry-optimized SiTcRh2 structure. The functional is GGA-PBE.

a b c (Å): 2.773 2.773 24.892
angles (deg): 90.00 90.00 120.00
Atoms (fractional coordinates):
Si  0.000  0.000  0.000
Si  0.333  0.667  0.667
Si  0.667  0.333  0.333
Tc  0.000  0.000  0.500
Tc  0.333  0.667  0.167
Tc  0.667  0.333  0.833
Rh  0.000  0.000  0.257
Rh  0.000  0.000  0.743
Rh  0.333  0.667  0.410
Rh  0.333  0.667  0.924
Rh  0.667  0.333  0.076
Rh  0.667  0.333  0.590

## Properties
* symmetry: R-3m
* formation energy (no corrections): -276 meV/atom
* calculated total energy: -7.899 eV per atom

Record 17
This record from the Alexandria database describes a geometry-optimized Si2Tc2Rh structure. The functional is GGA-PBE.

a b c (Å): 6.686 6.686 3.065
angles (deg): 90.00 90.00 90.00
Atoms (fractional coordinates):
Si  0.139  0.361  0.000
Si  0.361  0.861  0.000
Si  0.639  0.139  0.000
Si  0.861  0.639  0.000
Tc  0.158  0.658  0.500
Tc  0.342  0.158  0.500
Tc  0.658  0.842  0.500
Tc  0.842  0.342  0.500
Rh  0.000  0.000  0.000
Rh  0.500  0.500  0.000

## Properties
* symmetry: P4/mbm
* formation energy (no corrections): -310 meV/atom
* calculated total energy: -8.096 eV per atom

Record 18
This record from the Alexandria database describes a geometry-optimized SiTc3Rh structure. The functional is GGA-PBE.

a b c (Å): 4.645 4.645 4.645
angles (deg): 90.00 90.00 90.00
Atoms (fractional coordinates):
Si  0.000  0.000  0.000
Tc  0.000  0.500  0.500
Tc  0.500  0.000  0.500
Tc  0.500  0.500  0.000
Rh  0.500  0.500  0.500

## Properties
* symmetry: Pm-3m
* formation energy (no corrections): 1939 meV/atom
* calculated total energy: -6.835 eV per atom

Record 19
This record from the Alexandria database describes a geometry-optimized Si2TcRh structure. The functional is GGA-PBE.

a b c (Å): 4.157 4.157 3.006
angles (deg): 90.00 90.00 90.00
Atoms (fractional coordinates):
Si  0.000  0.500  0.000
Si  0.500  0.000  0.000
Tc  0.000  0.000  0.500
Rh  0.500  0.500  0.500

## Properties
* symmetry: P4/mmm
* formation energy (no corrections): -616 meV/atom
* calculated total energy: -7.757 eV per atom

Record 20
This record from the Alexandria database describes a geometry-optimized SiTcRh structure. The functional is GGA-PBE.

a b c (Å): 5.673 5.673 5.673
angles (deg): 90.00 90.00 90.00
Atoms (fractional coordinates):
Si  0.000  0.000  0.000
Si  0.000  0.500  0.500
Si  0.500  0.000  0.500
Si  0.500  0.500  0.000
Tc  0.250  0.250  0.250
Tc  0.250  0.750  0.750
Tc  0.750  0.250  0.750
Tc  0.750  0.750  0.250
Rh  0.250  0.250  0.750
Rh  0.250  0.750  0.250
Rh  0.750  0.250  0.250
Rh  0.750  0.750  0.750

## Properties
* symmetry: F-43m
* formation energy (no corrections): -219 meV/atom
* calculated total energy: -7.933 eV per atom